1.
{"formula": "PmTiCrO6", "functional": "GGA+U", "state": "optimized geometry", "energy_ev_per_atom": -7.877, "crystal_system": "tetragonal", "magmom_total_mub_per_cell": 1.99, "rho_g_cm3": 5.1, "lattice": [[4.817, 0.000, 0.000], [0.000, 4.817, 0.000], [0.000, 0.000, 9.542]], "species": ["Pm", "Pm", "Ti", "Ti", "Cr", "Cr", "O", "O", "O", "O", "O", "O", "O", "O", "O", "O", "O", "O"], "fractional_positions": [[0.000, 0.000, 0.000], [0.500, 0.500, 0.500], [0.000, 0.000, 0.352], [0.500, 0.500, 0.852], [0.000, 0.000, 0.669], [0.500, 0.500, 0.169], [0.172, 0.172, 0.514], [0.224, 0.224, 0.818], [0.239, 0.239, 0.200], [0.261, 0.739, 0.700], [0.276, 0.724, 0.318], [0.328, 0.672, 0.014], [0.672, 0.328, 0.014], [0.724, 0.276, 0.318], [0.739, 0.261, 0.700], [0.761, 0.761, 0.200], [0.776, 0.776, 0.818], [0.828, 0.828, 0.514]]}

---

2.
{"formula": "PmTlCr2O6", "functional": "GGA+U", "state": "optimized geometry", "energy_ev_per_atom": -7.174, "crystal_system": "monoclinic", "magmom_total_mub_per_cell": 6.00, "rho_g_cm3": 7.7, "lattice": [[4.802, -2.732, 0.000], [4.802, 2.732, 0.000], [-3.180, 0.000, 4.523]], "species": ["Pm", "Tl", "Cr", "Cr", "O", "O", "O", "O", "O", "O"], "fractional_positions": [[0.000, 0.000, 0.000], [0.540, 0.460, 0.500], [0.273, 0.234, 0.754], [0.766, 0.727, 0.246], [0.138, 0.862, 0.500], [0.415, 0.585, 0.000], [0.578, 0.047, 0.067], [0.579, 0.045, 0.558], [0.953, 0.422, 0.933], [0.955, 0.421, 0.442]]}

---

3.
{"formula": "Pm2Tl2CrO6", "functional": "GGA+U", "state": "optimized geometry", "energy_ev_per_atom": -6.685, "crystal_system": "monoclinic", "magmom_total_mub_per_cell": 1.99, "rho_g_cm3": 7.2, "lattice": [[2.982, -5.058, 0.000], [2.982, 5.058, 0.000], [-1.768, 0.000, 6.483]], "species": ["Pm", "Pm", "Tl", "Tl", "Cr", "O", "O", "O", "O", "O", "O"], "fractional_positions": [[0.166, 0.834, 0.000], [0.834, 0.166, 0.000], [0.339, 0.661, 0.500], [0.661, 0.339, 0.500], [0.500, 0.500, 0.000], [0.166, 0.452, 0.842], [0.263, 0.263, 0.178], [0.452, 0.166, 0.842], [0.548, 0.834, 0.158], [0.737, 0.737, 0.822], [0.834, 0.548, 0.158]]}

---

4.
{"formula": "PmTl3Cr2O8", "functional": "GGA+U", "state": "optimized geometry", "energy_ev_per_atom": -6.272, "crystal_system": "trigonal", "magmom_total_mub_per_cell": 2.00, "dos_at_fermi_per_ev_atom": 0.584, "rho_g_cm3": 6.6, "lattice": [[6.094, 0.000, 0.000], [-3.047, 5.278, 0.000], [0.000, 0.000, 7.800]], "species": ["Pm", "Tl", "Tl", "Tl", "Cr", "Cr", "O", "O", "O", "O", "O", "O", "O", "O"], "fractional_positions": [[0.000, 0.000, 0.000], [0.000, 0.000, 0.500], [0.333, 0.667, 0.198], [0.667, 0.333, 0.802], [0.333, 0.667, 0.739], [0.667, 0.333, 0.261], [0.178, 0.356, 0.818], [0.178, 0.822, 0.818], [0.333, 0.667, 0.524], [0.356, 0.178, 0.182], [0.644, 0.822, 0.818], [0.667, 0.333, 0.476], [0.822, 0.178, 0.182], [0.822, 0.644, 0.182]]}

---

5.
{"formula": "PmTmCr2O8", "functional": "GGA+U", "state": "optimized geometry", "energy_ev_per_atom": -7.638, "crystal_system": "tetragonal", "magmom_total_mub_per_cell": 2.00, "dos_at_fermi_per_ev_atom": 0.079, "rho_g_cm3": 5.4, "lattice": [[-3.630, 3.630, 3.158], [3.630, -3.630, 3.158], [3.630, 3.630, -3.158]], "species": ["Pm", "Tm", "Cr", "Cr", "O", "O", "O", "O", "O", "O", "O", "O"], "fractional_positions": [[0.000, 0.000, 0.000], [0.250, 0.750, 0.500], [0.500, 0.500, 0.000], [0.750, 0.250, 0.500], [0.331, 0.144, 0.813], [0.331, 0.518, 0.187], [0.393, 0.072, 0.321], [0.482, 0.669, 0.813], [0.752, 0.072, 0.679], [0.856, 0.669, 0.187], [0.928, 0.248, 0.321], [0.928, 0.607, 0.679]]}

---

6.
{"formula": "Pm2UCrO8", "functional": "GGA+U", "state": "optimized geometry", "energy_ev_per_atom": -8.411, "crystal_system": "monoclinic", "magmom_total_mub_per_cell": 1.99, "rho_g_cm3": 7.4, "lattice": [[4.179, 0.000, 0.000], [0.000, 7.184, 0.000], [-0.722, 0.000, 5.318]], "species": ["Pm", "Pm", "U", "Cr", "O", "O", "O", "O", "O", "O", "O", "O"], "fractional_positions": [[0.000, 0.241, 0.000], [0.000, 0.759, 0.000], [0.500, 0.500, 0.500], [0.500, 0.000, 0.500], [0.072, 0.500, 0.269], [0.120, 0.000, 0.282], [0.434, 0.252, 0.725], [0.434, 0.748, 0.725], [0.566, 0.252, 0.275], [0.566, 0.748, 0.275], [0.880, 0.000, 0.718], [0.928, 0.500, 0.731]]}

---

7.
{"formula": "PmVCr2O6", "functional": "GGA+U", "state": "optimized geometry", "energy_ev_per_atom": -8.007, "crystal_system": "trigonal", "magmom_total_mub_per_cell": 8.00, "dos_at_fermi_per_ev_atom": 0.000, "rho_g_cm3": 5.7, "lattice": [[2.679, 1.546, 4.613], [-2.679, 1.546, 4.613], [0.000, -3.093, 4.613]], "species": ["Pm", "V", "Cr", "Cr", "O", "O", "O", "O", "O", "O"], "fractional_positions": [[0.000, 0.000, 0.000], [0.529, 0.529, 0.529], [0.226, 0.226, 0.226], [0.735, 0.735, 0.735], [0.115, 0.462, 0.839], [0.389, 0.941, 0.567], [0.462, 0.839, 0.115], [0.567, 0.389, 0.941], [0.839, 0.115, 0.462], [0.941, 0.567, 0.389]]}

---

8.
{"formula": "PmVCrO6", "functional": "GGA+U", "state": "optimized geometry", "energy_ev_per_atom": -7.722, "crystal_system": "trigonal", "magmom_total_mub_per_cell": 4.00, "rho_g_cm3": 5.1, "lattice": [[5.043, 0.000, 0.000], [-2.522, 4.368, 0.000], [0.000, 0.000, 10.118]], "species": ["Pm", "Pm", "V", "V", "Cr", "Cr", "O", "O", "O", "O", "O", "O", "O", "O", "O", "O", "O", "O"], "fractional_positions": [[0.000, 0.000, 0.000], [0.000, 0.000, 0.500], [0.333, 0.667, 0.250], [0.667, 0.333, 0.750], [0.333, 0.667, 0.750], [0.667, 0.333, 0.250], [0.005, 0.373, 0.145], [0.005, 0.631, 0.355], [0.369, 0.373, 0.355], [0.369, 0.995, 0.145], [0.373, 0.005, 0.645], [0.373, 0.369, 0.855], [0.627, 0.631, 0.145], [0.627, 0.995, 0.355], [0.631, 0.005, 0.855], [0.631, 0.627, 0.645], [0.995, 0.369, 0.645], [0.995, 0.627, 0.855]]}